(1)
Ba5Cd4Pb GGA-PBE optimized geometry; symmetry = P4/mmm (123); E_form = -344.7 kJ/mol of formula units
1.0
4.269 0.000 0.000
0.000 4.269 0.000
0.000 0.000 21.386
Ba Cd Pb
5 4 1
Cartesian
0.000 0.000 0.000
0.000 0.000 4.247
0.000 0.000 8.526
0.000 0.000 12.860
0.000 0.000 17.139
2.134 2.134 2.103
2.134 2.134 6.335
2.134 2.134 15.051
2.134 2.134 19.283
2.134 2.134 10.693

***

(2)
Ba3CdPb2 GGA-PBE optimized geometry; symmetry = Cmmm (65); E_form = -269.0 kJ/mol of formula units
1.0
3.091 -9.355 0.000
3.091 9.355 0.000
0.000 0.000 4.121
Ba Cd Pb
3 1 2
Cartesian
0.000 0.000 0.000
3.091 3.182 0.000
3.091 -3.182 0.000
3.091 0.000 2.060
3.091 6.386 2.060
3.091 -6.386 2.060

***

(3)
BaCd2Pb8 GGA-PBE optimized geometry; symmetry = P4/mmm (123); E_form = 93.6 kJ/mol of formula units
1.0
6.656 0.000 0.000
0.000 6.656 0.000
0.000 0.000 9.622
Ba Cd Pb
1 2 8
Cartesian
0.000 0.000 0.000
0.000 3.328 4.811
3.328 0.000 4.811
1.693 1.693 2.782
1.693 1.693 6.840
1.693 4.963 2.782
1.693 4.963 6.840
4.963 1.693 2.782
4.963 1.693 6.840
4.963 4.963 2.782
4.963 4.963 6.840

***

(4)
Ba2CdPb GGA-PBE optimized geometry; symmetry = Fm-3m (225); E_form = -189.6 kJ/mol of formula units; E above lowest polymorph = 0.0 kJ/mol of formula units
1.0
0.000 4.286 4.286
4.286 0.000 4.286
4.286 4.286 0.000
Ba Cd Pb
2 1 1
Cartesian
2.143 2.143 2.143
6.429 6.429 6.429
0.000 0.000 0.000
4.286 4.286 4.286